[1]
Density functional theory data (GGA-PBE) for crystalline MnAu2Se at its relaxed geometry.

Cell: 8.984 3.161 6.068 Å, 90.00 102.67 90.00°
Space group Cm (No. 8)
Inequivalent atoms, fractional coordinates:
Mn1 0.000 0.000 0.000 [2 per cell]
Au1 0.000 0.500 0.385 [2 per cell]
Au2 0.238 0.500 0.167 [2 per cell]
Se1 0.369 0.000 0.725 [2 per cell]

Values from the calculation:
**E_tot**: -38.53 eV/cell
**Crystal system**: monoclinic
**Spin magnetization**: 3.457 μB per formula unit
**N(E_F)**: 0.40 states/eV/atom
**Volume**: 168.1 Å³ per cell
**Uncorrected formation energy**: -0.015 eV/atom

---

[2]
Density functional theory data (GGA-PBE) for crystalline BaSrCu at its relaxed geometry.

Cell: 7.829 7.829 7.829 Å, 90.00 90.00 90.00°
Space group F-43m (No. 216)
Inequivalent atoms, fractional coordinates:
Ba1 0.000 0.000 0.000 [4 per cell]
Sr1 0.000 0.000 0.500 [4 per cell]
Cu1 0.250 0.250 0.250 [4 per cell]

Values from the calculation:
**E_tot**: -29.80 eV/cell
**Crystal system**: cubic
**Spin magnetization**: 0.000 μB per formula unit
**N(E_F)**: 1.07 states/eV/atom
**Volume**: 479.9 Å³ per cell
**Offset from the most stable computed form**: 0.097 eV per atom

---

[3]
Density functional theory data (GGA-PBE) for crystalline ZrMoPt at its relaxed geometry.

Cell: 9.096 4.317 5.779 Å, 90.00 111.01 90.00°
Space group Cm (No. 8)
Inequivalent atoms, fractional coordinates:
Zr1 0.000 0.000 0.000 [2 per cell]
Zr2 0.212 0.500 0.355 [2 per cell]
Mo1 0.031 0.000 0.534 [2 per cell]
Mo2 0.331 0.000 0.680 [2 per cell]
Pt1 0.171 0.500 0.837 [2 per cell]
Pt2 0.363 0.000 0.182 [2 per cell]

Values from the calculation:
**E_tot**: -106.77 eV/cell
**Crystal system**: monoclinic
**Spin magnetization**: 0.000 μB per formula unit
**N(E_F)**: 0.88 states/eV/atom
**Volume**: 211.8 Å³ per cell
**Offset from the most stable computed form**: 0.098 eV per atom

---

[4]
Density functional theory data (GGA-PBE) for crystalline MnCrSb2 at its relaxed geometry.

Cell: 3.1548 3.1548 30.2392 Å, 90.00 90.00 120.00°
Space group R3m (No. 160, hexagonal axes)
Inequivalent atoms, fractional coordinates:
Mn1 0.0000 0.0000 0.0000 [3 per cell]
Cr1 0.0000 0.0000 0.2774 [3 per cell]
Sb1 0.0000 0.0000 0.5374 [3 per cell]
Sb2 0.0000 0.0000 0.7391 [3 per cell]

Values from the calculation:
**E_tot**: -76.70 eV/cell
**Crystal system**: trigonal
**Spin magnetization**: 0.355 μB per formula unit
**N(E_F)**: 1.28 states/eV/atom
**Volume**: 260.6 Å³ per cell
**Uncorrected formation energy**: 0.368 eV/atom
**Offset from the most stable computed form**: 0.337 eV per atom

---

[5]
Density functional theory data (GGA-PBE) for crystalline CaTaAg at its relaxed geometry.

Cell: 3.346 16.783 4.734 Å, 90.00 90.00 90.00°
Space group Cmcm (No. 63)
Inequivalent atoms, fractional coordinates:
Ca1 0.000 0.077 0.250 [4 per cell]
Ta1 0.000 0.243 0.750 [4 per cell]
Ag1 0.000 0.393 0.250 [4 per cell]

Values from the calculation:
**E_tot**: -64.36 eV/cell
**Crystal system**: orthorhombic
**Spin magnetization**: 0.000 μB per formula unit
**N(E_F)**: 0.90 states/eV/atom
**Volume**: 265.8 Å³ per cell
**Offset from the most stable computed form**: 0.081 eV per atom

---

[6]
Density functional theory data (GGA-PBE) for crystalline MgHgSeS at its relaxed geometry.

Cell: 4.2317 4.2317 20.6970 Å, 90.00 90.00 120.00°
Space group R3m (No. 160, hexagonal axes)
Inequivalent atoms, fractional coordinates:
Mg1 0.0000 0.0000 0.0000 [3 per cell]
Hg1 0.0000 0.0000 0.5111 [3 per cell]
Se1 0.0000 0.0000 0.1261 [3 per cell]
S1 0.0000 0.0000 0.6364 [3 per cell]

Values from the calculation:
**E_tot**: -37.51 eV/cell
**Crystal system**: trigonal
**Spin magnetization**: 0.000 μB per formula unit
**N(E_F)**: 0.02 states/eV/atom
**Volume**: 321.0 Å³ per cell
**Uncorrected formation energy**: -0.749 eV/atom

---

[7]
Density functional theory data (GGA-PBE) for crystalline Pm12Ho7In at its relaxed geometry.

Cell: 11.528 11.528 11.528 Å, 90.00 90.00 90.00°
Space group Im-3m (No. 229)
Inequivalent atoms, fractional coordinates:
Pm1 0.000 0.222 0.222 [24 per cell]
Ho1 0.000 0.000 0.500 [6 per cell]
Ho2 0.250 0.250 0.250 [8 per cell]
In1 0.000 0.000 0.000 [2 per cell]

Values from the calculation:
**E_tot**: -157.11 eV/cell
**Crystal system**: cubic
**Spin magnetization**: 0.002 μB per formula unit
**N(E_F)**: 1.71 states/eV/atom
**Volume**: 1531.8 Å³ per cell

---

[8]
Density functional theory data (GGA-PBE) for crystalline TbPm6Tm3Th2 at its relaxed geometry.

Cell: 6.225 10.768 11.911 Å, 90.00 100.03 90.00°
Space group C2/m (No. 12)
Inequivalent atoms, fractional coordinates:
Tb1 0.000 0.000 0.000 [2 per cell]
Pm1 0.247 0.500 0.250 [4 per cell]
Pm2 0.249 0.332 0.750 [8 per cell]
Tm1 0.000 0.167 0.500 [4 per cell]
Tm2 0.000 0.500 0.500 [2 per cell]
Th1 0.000 0.333 0.000 [4 per cell]

Values from the calculation:
**E_tot**: -121.79 eV/cell
**Crystal system**: monoclinic
**Spin magnetization**: 0.000 μB per formula unit
**N(E_F)**: 1.42 states/eV/atom
**Volume**: 786.2 Å³ per cell

---

[9]
Density functional theory data (GGA-PBE) for crystalline TaInCoS3 at its relaxed geometry.

Cell: 8.477 3.447 9.122 Å, 90.00 114.16 90.00°
Space group P2_1/m (No. 11)
Inequivalent atoms, fractional coordinates:
Ta1 0.200 0.250 0.169 [2 per cell]
In1 0.262 0.750 0.744 [2 per cell]
Co1 0.416 0.750 0.387 [2 per cell]
S1 0.032 0.250 0.859 [2 per cell]
S2 0.293 0.250 0.457 [2 per cell]
S3 0.388 0.750 0.131 [2 per cell]

Values from the calculation:
**E_tot**: -76.25 eV/cell
**Crystal system**: monoclinic
**Spin magnetization**: 0.847 μB per formula unit
**N(E_F)**: 0.35 states/eV/atom
**Volume**: 243.2 Å³ per cell
**Uncorrected formation energy**: -0.675 eV/atom

---

[10]
Density functional theory data (GGA-PBE) for crystalline HRu2Pt at its relaxed geometry.

Cell: 5.921 5.921 5.921 Å, 90.00 90.00 90.00°
Space group Fm-3m (No. 225)
Inequivalent atoms, fractional coordinates:
H1 0.000 0.000 0.000 [4 per cell]
Ru1 0.250 0.250 0.250 [8 per cell]
Pt1 0.000 0.000 0.500 [4 per cell]

Values from the calculation:
**E_tot**: -99.96 eV/cell
**Crystal system**: cubic
**Spin magnetization**: 0.000 μB per formula unit
**N(E_F)**: 1.50 states/eV/atom
**Volume**: 207.6 Å³ per cell
**Offset from the most stable computed form**: 0.651 eV per atom

---

[11]
Density functional theory data (GGA-PBE) for crystalline Sr3Nd5Sm12 at its relaxed geometry.

Cell: 19.452 19.452 19.452 Å, 90.00 90.00 90.00°
Space group Ia-3d (No. 230)
Inequivalent atoms, fractional coordinates:
Sr1 0.000 0.250 0.125 [24 per cell]
Nd1 0.000 0.000 0.000 [16 per cell]
Nd2 0.000 0.250 0.375 [24 per cell]
Sm1 0.062 0.119 0.929 [96 per cell]

Values from the calculation:
**E_tot**: -533.80 eV/cell
**Crystal system**: cubic
**Spin magnetization**: 0.000 μB per formula unit
**N(E_F)**: 1.23 states/eV/atom
**Volume**: 7360.5 Å³ per cell

---

[12]
Density functional theory data (GGA-PBE) for crystalline LiPmGa2Pd4 at its relaxed geometry.

Cell: 4.3367 4.3367 25.0597 Å, 90.00 90.00 120.00°
Space group R-3m (No. 166, hexagonal axes)
Inequivalent atoms, fractional coordinates:
Li1 0.0000 0.0000 0.0000 [3 per cell]
Pm1 0.0000 0.0000 0.5000 [3 per cell]
Ga1 0.0000 0.0000 0.2627 [6 per cell]
Pd1 0.0000 0.0000 0.0976 [6 per cell]
Pd2 0.0000 0.0000 0.3695 [6 per cell]

Values from the calculation:
**E_tot**: -118.10 eV/cell
**Crystal system**: trigonal
**Spin magnetization**: 0.000 μB per formula unit
**N(E_F)**: 0.40 states/eV/atom
**Volume**: 408.2 Å³ per cell

---

[13]
Density functional theory data (GGA-PBE) for crystalline AcTmCo2 at its relaxed geometry.

Cell: 3.476 3.476 6.933 Å, 90.00 90.00 90.00°
Space group P4/mmm (No. 123)
Inequivalent atoms, fractional coordinates:
Ac1 0.000 0.000 0.000 [1 per cell]
Tm1 0.000 0.000 0.500 [1 per cell]
Co1 0.500 0.500 0.283 [2 per cell]

Values from the calculation:
**E_tot**: -22.58 eV/cell
**Crystal system**: tetragonal
**Spin magnetization**: 0.942 μB per formula unit
**N(E_F)**: 0.74 states/eV/atom
**Volume**: 83.8 Å³ per cell

---

[14]
Density functional theory data (GGA-PBE) for crystalline MgSn2Se4 at its relaxed geometry.

Cell: 3.950 13.111 13.747 Å, 90.00 90.00 90.00°
Space group Cmcm (No. 63)
Inequivalent atoms, fractional coordinates:
Mg1 0.000 0.103 0.250 [4 per cell]
Sn1 0.000 0.365 0.070 [8 per cell]
Se1 0.000 0.000 0.000 [4 per cell]
Se2 0.000 0.279 0.626 [8 per cell]
Se3 0.000 0.468 0.250 [4 per cell]

Values from the calculation:
**E_tot**: -108.73 eV/cell
**Crystal system**: orthorhombic
**Spin magnetization**: 0.000 μB per formula unit
**N(E_F)**: 0.40 states/eV/atom
**Volume**: 711.9 Å³ per cell
**Uncorrected formation energy**: -0.520 eV/atom

---

[15]
Density functional theory data (GGA-PBE) for crystalline NbReTc at its relaxed geometry.

Cell: 4.4433 4.4433 2.7849 Å, 90.00 90.00 120.00°
Space group P3m1 (No. 156)
Inequivalent atoms, fractional coordinates:
Nb1 0.0000 0.0000 0.0000 [1 per cell]
Re1 0.6667 0.3333 0.6789 [1 per cell]
Tc1 0.3333 0.6667 0.3244 [1 per cell]

Values from the calculation:
**E_tot**: -32.95 eV/cell
**Crystal system**: trigonal
**Spin magnetization**: 0.000 μB per formula unit
**N(E_F)**: 0.90 states/eV/atom
**Volume**: 47.6 Å³ per cell
**Offset from the most stable computed form**: 0.025 eV per atom

---

[16]
Density functional theory data (GGA-PBE) for crystalline SrPt2Au10 at its relaxed geometry.

Cell: 5.714 13.232 13.453 Å, 90.00 90.00 90.00°
Space group Fmmm (No. 69)
Inequivalent atoms, fractional coordinates:
Sr1 0.000 0.000 0.000 [4 per cell]
Pt1 0.250 0.000 0.250 [8 per cell]
Au1 0.000 0.109 0.390 [16 per cell]
Au2 0.000 0.170 0.175 [16 per cell]
Au3 0.250 0.250 0.000 [8 per cell]

Values from the calculation:
**E_tot**: -196.87 eV/cell
**Crystal system**: orthorhombic
**Spin magnetization**: 0.000 μB per formula unit
**N(E_F)**: 0.28 states/eV/atom
**Volume**: 1017.2 Å³ per cell

---

[17]
Density functional theory data (GGA-PBE) for crystalline Ti2GePd8 at its relaxed geometry.

Cell: 4.475 5.701 13.517 Å, 90.00 90.00 90.00°
Space group Immm (No. 71)
Inequivalent atoms, fractional coordinates:
Ti1 0.000 0.000 0.190 [4 per cell]
Ge1 0.000 0.000 0.500 [2 per cell]
Pd1 0.000 0.243 0.000 [4 per cell]
Pd2 0.000 0.263 0.361 [8 per cell]
Pd3 0.000 0.500 0.186 [4 per cell]

Values from the calculation:
**E_tot**: -135.65 eV/cell
**Crystal system**: orthorhombic
**Spin magnetization**: 0.000 μB per formula unit
**N(E_F)**: 0.44 states/eV/atom
**Volume**: 344.9 Å³ per cell

---

[18]
Density functional theory data (GGA-PBE) for crystalline ZnHgMoCl2 at its relaxed geometry.

Cell: 5.249 5.249 5.844 Å, 90.00 90.00 90.00°
Space group P4/mmm (No. 123)
Inequivalent atoms, fractional coordinates:
Zn1 0.000 0.000 0.000 [1 per cell]
Hg1 0.500 0.500 0.500 [1 per cell]
Mo1 0.500 0.500 0.000 [1 per cell]
Cl1 0.000 0.500 0.500 [2 per cell]

Values from the calculation:
**E_tot**: -11.79 eV/cell
**Crystal system**: tetragonal
**Spin magnetization**: 5.220 μB per formula unit
**N(E_F)**: 0.49 states/eV/atom
**Volume**: 161.0 Å³ per cell
**Uncorrected formation energy**: 0.862 eV/atom

---

[19]
Density functional theory data (GGA-PBE) for crystalline ThZnCu2 at its relaxed geometry.

Cell: 3.882 17.881 4.308 Å, 90.00 90.00 90.00°
Space group Cmcm (No. 63)
Inequivalent atoms, fractional coordinates:
Th1 0.000 0.104 0.250 [4 per cell]
Zn1 0.000 0.327 0.250 [4 per cell]
Cu1 0.000 0.256 0.750 [4 per cell]
Cu2 0.000 0.466 0.250 [4 per cell]

Values from the calculation:
**E_tot**: -70.06 eV/cell
**Crystal system**: orthorhombic
**Spin magnetization**: 0.000 μB per formula unit
**N(E_F)**: 0.76 states/eV/atom
**Volume**: 299.0 Å³ per cell

---

[20]
Density functional theory data (GGA-PBE) for crystalline PmPr4Ga at its relaxed geometry.

Cell: 3.691 3.691 14.369 Å, 90.00 90.00 90.00°
Space group P4/mmm (No. 123)
Inequivalent atoms, fractional coordinates:
Pm1 0.000 0.000 0.000 [1 per cell]
Pr1 0.000 0.000 0.369 [2 per cell]
Pr2 0.500 0.500 0.181 [2 per cell]
Ga1 0.500 0.500 0.500 [1 per cell]

Values from the calculation:
**E_tot**: -27.84 eV/cell
**Crystal system**: tetragonal
**Spin magnetization**: 0.000 μB per formula unit
**N(E_F)**: 1.42 states/eV/atom
**Volume**: 195.7 Å³ per cell
**Offset from the most stable computed form**: 0.000 eV per atom

---

[21]
Density functional theory data (GGA-PBE) for crystalline Np2PN at its relaxed geometry.

Cell: 3.155 3.155 6.507 Å, 90.00 90.00 90.00°
Space group P4/mmm (No. 123)
Inequivalent atoms, fractional coordinates:
Np1 0.000 0.000 0.222 [2 per cell]
P1 0.500 0.500 0.500 [1 per cell]
N1 0.500 0.500 0.000 [1 per cell]

Values from the calculation:
**E_tot**: -41.54 eV/cell
**Crystal system**: tetragonal
**Spin magnetization**: 7.748 μB per formula unit
**N(E_F)**: 1.69 states/eV/atom
**Volume**: 64.8 Å³ per cell
**Uncorrected formation energy**: -0.481 eV/atom
**Offset from the most stable computed form**: 0.435 eV per atom